Record 1
A relaxed Mg2OsRh crystal. Source: the Alexandria database, functional PBE. Values from VASP.

- Calculated formation energy: 0.054 eV/atom
- V: 61.18 Å³/cell
- Fermi-level density of states: 3.359 states/eV/cell

Cell and atoms, written as Quantum ESPRESSO input:
```
&SYSTEM
  ibrav = 0, nat = 4, ntyp = 3
/
ATOMIC_SPECIES
Mg 24.30 Mg.upf
Os 190.23 Os.upf
Rh 102.91 Rh.upf
CELL_PARAMETERS angstrom
4.579 0.000 0.000
0.000 4.579 0.000
0.000 0.000 2.918
ATOMIC_POSITIONS crystal
Mg 0.000 0.500 0.000
Mg 0.500 0.000 0.000
Os 0.000 0.000 0.500
Rh 0.500 0.500 0.500
```

=====

Record 2
A relaxed MgOs3Rh crystal. Source: the Alexandria database, functional PBE. Values from VASP.

- Calculated formation energy: 2.119 eV/atom
- V: 103.29 Å³/cell
- Fermi-level density of states: 6.519 states/eV/cell

Cell and atoms, written as Quantum ESPRESSO input:
```
&SYSTEM
  ibrav = 0, nat = 5, ntyp = 3
/
ATOMIC_SPECIES
Mg 24.30 Mg.upf
Os 190.23 Os.upf
Rh 102.91 Rh.upf
CELL_PARAMETERS angstrom
4.692 0.000 0.000
0.000 4.692 0.000
0.000 0.000 4.692
ATOMIC_POSITIONS crystal
Mg 0.000 0.000 0.000
Os 0.000 0.500 0.500
Os 0.500 0.000 0.500
Os 0.500 0.500 0.000
Rh 0.500 0.500 0.500
```

=====

Record 3
A relaxed MgOs2Rh crystal. Source: the Alexandria database, functional PBE. Values from VASP.

- Calculated formation energy: 0.194 eV/atom
- V: 59.25 Å³/cell
- Fermi-level density of states: 3.242 states/eV/cell

Cell and atoms, written as Quantum ESPRESSO input:
```
&SYSTEM
  ibrav = 0, nat = 4, ntyp = 3
/
ATOMIC_SPECIES
Mg 24.30 Mg.upf
Os 190.23 Os.upf
Rh 102.91 Rh.upf
CELL_PARAMETERS angstrom
1.372 0.792 9.082
-1.372 0.792 9.082
0.000 -1.585 9.082
ATOMIC_POSITIONS crystal
Mg 0.000 0.000 0.000
Os 0.248 0.248 0.248
Os 0.752 0.752 0.752
Rh 0.500 0.500 0.500
```

=====

Record 4
A relaxed Mg2OsRh crystal. Source: the Alexandria database, functional PBE. Values from VASP.

- Calculated formation energy: 0.111 eV/atom
- V: 62.57 Å³/cell
- Fermi-level density of states: 4.887 states/eV/cell

Cell and atoms, written as Quantum ESPRESSO input:
```
&SYSTEM
  ibrav = 0, nat = 4, ntyp = 3
/
ATOMIC_SPECIES
Mg 24.30 Mg.upf
Os 190.23 Os.upf
Rh 102.91 Rh.upf
CELL_PARAMETERS angstrom
3.988 0.000 0.000
0.000 3.988 0.000
0.000 0.000 3.934
ATOMIC_POSITIONS crystal
Mg 0.000 0.500 0.000
Mg 0.500 0.000 0.000
Os 0.000 0.000 0.500
Rh 0.500 0.500 0.500
```